Material: ZrFeTc2
Method: DFT, PBE
State: optimized geometry

The structure belongs to space group P4mm (No. 99); the cell edges are 3.127, 3.127 and 6.429 Å and the angles 90.00°, 90.00° and 90.00°. Symmetry generates all atoms from Zr at (0.000, 0.000, 0.000), Fe at (0.500, 0.500, 0.263), Tc at (0.000, 0.000, 0.488) and Tc at (0.500, 0.500, 0.712).

The value obtained for the formation energy is -0.024 eV/atom. The calculation puts the density of states at the Fermi level at 0.859 states/eV/atom. As for the excess energy over the best structure of this formula in the dataset: 0.0087 eV/atom. The volume is 63 Å³ per cell.